Ta2TlCd | SCAN | single point on PBEsol structure

Values from the calculation:
ΔH_f (0 K) = 458 meV/atom
Mass density = 14.47 g/cm³
Fermi-level density of states = 2.200 states/eV per cell

a = 5.3130 Å, b = 5.3130 Å, c = 5.2596 Å
α = 100.27°, β = 100.27°, γ = 32.27°
Closest atoms and distances in Å follow each position.
Fractional coordinates of all 4 atoms:
Ta (0.0000, 0.0000, 0.0000)  4 Ta 2.76-2.95, 2 Cd 2.95
Ta (0.7256, 0.7256, 0.1894)  4 Ta 2.76-2.95, 4 Tl 2.98-3.06
Tl (0.2435, 0.2435, 0.7044)  3 Cd 2.90-3.10, 2 Tl 2.95, 7 Ta 2.98-3.17
Cd (0.4811, 0.4811, 0.4771)  3 Tl 2.90-3.10, 7 Ta 2.95-3.15, 2 Cd 2.95